[1]
Material: CaSc3Zn
Method: DFT, GGA-PBE
State: relaxed

POSCAR file:
```
CaSc3Zn
1.0
5.148 0.000 0.000
0.000 5.148 0.000
0.000 0.000 5.148
Ca Sc Zn
1 3 1
Cartesian
0.000 0.000 0.000
0.000 0.000 2.574
0.000 2.574 0.000
2.574 0.000 0.000
2.574 2.574 2.574
```

Summary:
The calculation puts the formation energy at 5.95 eV/f.u. The value obtained for the energy above the most stable polymorph in this dataset is 989 meV/atom. Its symmetry is Pm-3m, No. 221.

[2]
Material: AsPb2SeS
Method: DFT, GGA-PBE
State: relaxed

POSCAR file:
```
AsPb2SeS
1.0
5.674 0.000 0.000
0.000 5.674 0.000
0.000 0.000 4.779
As Pb Se S
1 2 1 1
Cartesian
0.000 0.000 0.000
0.000 2.837 2.389
2.837 0.000 2.389
2.837 2.837 2.389
2.837 2.837 0.000
```

Summary:
The calculation puts the formation energy without anion corrections at 0.42 eV/atom. Its symmetry is P4/mmm, No. 123.

[3]
Material: PdPt4Rh
Method: DFT, GGA-PBE
State: relaxed

POSCAR file:
```
PdPt4Rh
1.0
0.000 3.931 8.344
2.807 0.000 8.344
2.807 3.931 0.000
Pd Pt Rh
2 8 2
Cartesian
0.702 0.983 2.086
4.912 6.880 14.602
2.105 2.948 0.726
2.105 2.948 3.496
3.508 4.914 4.898
3.508 4.914 7.669
2.105 2.948 9.020
2.105 2.948 11.790
3.508 4.914 13.192
3.508 4.914 15.962
2.105 2.948 6.258
3.508 4.914 10.430
```

Summary:
The calculation puts the formation energy at -0.11 eV/f.u. Its symmetry is Fddd, No. 70.

[4]
Material: CaTiPt3
Method: DFT, GGA-PBE
State: relaxed

POSCAR file:
```
CaTiPt3
1.0
4.781 0.000 0.000
0.000 4.781 0.000
0.000 0.000 4.781
Ca Ti Pt
1 1 3
Cartesian
0.000 0.000 0.000
2.390 2.390 2.390
0.000 2.390 2.390
2.390 0.000 2.390
2.390 2.390 0.000
```

Summary:
The calculation puts the formation energy at -1.39 eV/f.u. The value obtained for the energy above the most stable polymorph in this dataset is 0 meV/atom. Its symmetry is Pm-3m, No. 221.

[5]
Material: Sr2AgPb
Method: DFT, GGA-PBE
State: relaxed

POSCAR file:
```
Sr2AgPb
1.0
2.190 1.264 8.900
-2.190 1.264 8.900
0.000 -2.529 8.900
Sr Ag Pb
2 1 1
Cartesian
0.000 0.000 6.535
0.000 0.000 20.166
0.000 0.000 13.350
0.000 0.000 0.000
```

Summary:
The calculation puts the formation energy at -0.98 eV/f.u. Its symmetry is R-3m, No. 166.

[6]
Material: TlH2O
Method: DFT, GGA-PBE
State: relaxed

POSCAR file:
```
TlH2O
1.0
3.740 -3.003 0.000
3.740 3.003 0.000
-0.925 0.000 2.901
Tl H O
1 2 1
Cartesian
0.000 0.000 0.000
2.225 0.000 2.132
4.330 0.000 0.768
3.740 0.000 0.000
```

Summary:
The value obtained for the energy above the most stable polymorph in this dataset is 0 meV/atom. Its symmetry is C2/m, No. 12.